1.
DFT (PBE) results for an optimized crystal structure of Tb2CeSm6Tm3.

Cell lengths 6.203, 6.203, 11.809 Å; angles 95.03, 95.03, 120.01 degrees
Atoms (fractional coordinates):
1 Tb 0.166 0.834 0.000
2 Tb 0.834 0.166 0.000
3 Ce 0.500 0.500 0.000
4 Sm 0.085 0.416 0.748
5 Sm 0.252 0.252 0.252
6 Sm 0.416 0.085 0.748
7 Sm 0.584 0.915 0.252
8 Sm 0.748 0.748 0.748
9 Sm 0.915 0.584 0.252
10 Tm 0.000 0.000 0.500
11 Tm 0.333 0.667 0.500
12 Tm 0.667 0.333 0.500

Summary:
**Total DFT energy (no corrections)**: -4.70 eV/atom
**Crystal system**: monoclinic
**Formation energy from the elements**: 0.040 eV/atom
**Symmetry**: No. 12

***

2.
DFT (PBE) results for an optimized crystal structure of TbCeSmTm.

Cell lengths 5.675, 5.675, 5.675 Å; angles 60.00, 60.00, 60.00 degrees
Atoms (fractional coordinates):
1 Tb 0.000 0.000 0.000
2 Ce 0.250 0.250 0.250
3 Sm 0.500 0.500 0.500
4 Tm 0.750 0.750 0.750

Summary:
**Total DFT energy (no corrections)**: -4.75 eV/atom
**Crystal system**: cubic
**Formation energy from the elements**: 0.193 eV/atom
**Symmetry**: No. 216

***

3.
DFT (PBE) results for an optimized crystal structure of Tb3CeSm6Tm2.

Cell lengths 6.210, 6.210, 11.857 Å; angles 95.01, 95.01, 120.00 degrees
Atoms (fractional coordinates):
1 Tb 0.000 0.000 0.000
2 Tb 0.333 0.667 0.000
3 Tb 0.667 0.333 0.000
4 Ce 0.500 0.500 0.500
5 Sm 0.085 0.417 0.251
6 Sm 0.251 0.251 0.749
7 Sm 0.417 0.085 0.251
8 Sm 0.583 0.915 0.749
9 Sm 0.749 0.749 0.251
10 Sm 0.915 0.583 0.749
11 Tm 0.167 0.833 0.500
12 Tm 0.833 0.167 0.500

Summary:
**Total DFT energy (no corrections)**: -4.72 eV/atom
**Crystal system**: monoclinic
**Formation energy from the elements**: 0.038 eV/atom
**Symmetry**: No. 12